# 1
Hf2Zr3Sc3 after structural relaxation. Source: Alexandria via LeMat-Bulk, functional GGA-PBE.

abc: 8.3811 8.3811 9.3532
angles: 90.00 90.00 120.00
Space group R32 (No. 155, hexagonal axes)
Symmetry-distinct sites (fractional):
Hf (0.0000, 0.0000, 0.1802) (multiplicity 6)
Zr (0.0000, 0.6835, 0.0000) (multiplicity 9)
Sc (0.0000, 0.2723, 0.5000) (multiplicity 9)

Output
Size of the total moment, μB per formula unit: 0.0
Distance to the lowest polymorph of the same formula, meV/atom: 118.7
ΔH_f (0 K), meV/atom: 150
Calculated total energy, eV for the cell shown: -190.04

# 2
LaPm7Ho3 after structural relaxation. Source: Alexandria via LeMat-Bulk, functional GGA-PBE.

abc: 11.8055 10.1532 6.4613
angles: 90.00 95.79 90.00
Space group C2/m (No. 12)
Symmetry-distinct sites (fractional):
La (0.0000, 0.0000, 0.0000) (multiplicity 2)
Pm (0.0000, 0.0000, 0.5000) (multiplicity 2)
Pm (0.2346, 0.5000, 0.7106) (multiplicity 4)
Pm (0.2483, 0.3247, 0.2410) (multiplicity 8)
Ho (0.0000, 0.3309, 0.5000) (multiplicity 4)
Ho (0.0000, 0.5000, 0.0000) (multiplicity 2)

Output
Size of the total moment, μB per formula unit: 0.0
Distance to the lowest polymorph of the same formula, meV/atom: 23.2
ΔH_f (0 K), meV/atom: 215
Calculated total energy, eV for the cell shown: -99.11

# 3
Ba2WCl after structural relaxation. Source: Alexandria via LeMat-Bulk, functional GGA-PBE.

abc: 4.6339 4.6339 13.8316
angles: 90.00 90.00 90.00
Space group I-4m2 (No. 119)
Symmetry-distinct sites (fractional):
Ba (0.0000, 0.0000, 0.0000) (multiplicity 2)
Ba (0.0000, 0.5000, 0.2500) (multiplicity 2)
W (0.0000, 0.0000, 0.5000) (multiplicity 2)
Cl (0.0000, 0.5000, 0.7500) (multiplicity 2)

Output
Size of the total moment, μB per formula unit: 4.4
Raw formation energy, eV per atom: 0.497
Distance to the lowest polymorph of the same formula, meV/atom: 343.9
Calculated total energy, eV for the cell shown: -33.32

Q: The highest calculated total energy belongs to which entry?
A: Ba2WCl

Repeat the third record exactly.
Ba2WCl after structural relaxation. Source: Alexandria via LeMat-Bulk, functional GGA-PBE.

abc: 4.6339 4.6339 13.8316
angles: 90.00 90.00 90.00
Space group I-4m2 (No. 119)
Symmetry-distinct sites (fractional):
Ba (0.0000, 0.0000, 0.0000) (multiplicity 2)
Ba (0.0000, 0.5000, 0.2500) (multiplicity 2)
W (0.0000, 0.0000, 0.5000) (multiplicity 2)
Cl (0.0000, 0.5000, 0.7500) (multiplicity 2)

Output
Size of the total moment, μB per formula unit: 4.4
Raw formation energy, eV per atom: 0.497
Distance to the lowest polymorph of the same formula, meV/atom: 343.9
Calculated total energy, eV for the cell shown: -33.32